8
Lattice="4.838 0.000 0.000 0.000 5.739 0.000 0.000 0.000 6.056" Properties=species:S:1:pos:R:3 comment="PBE Ta3Br, optimized geometry" relative_energy_kj_per_mol_atoms=31.3 raw_formation_energy_ev_per_atom=0.68 m_tot_mub_per_cell=0.0 pbc="T T T"
Ta 1.210 0.032 0.774
Ta 1.210 1.435 4.504
Ta 1.210 2.838 0.774
Ta 3.629 2.901 5.282
Ta 3.629 4.304 1.552
Ta 3.629 5.707 5.282
Br 1.210 4.304 3.202
Br 3.629 1.435 2.855

=====

4
Lattice="4.628 0.000 0.000 0.000 3.268 0.000 -1.858 0.000 7.487" Properties=species:S:1:pos:R:3 comment="PBE Te2RuPb, optimized geometry" raw_formation_energy_ev_per_atom=0.11 m_tot_mub_per_cell=0.0 pbc="T T T"
Te 0.000 0.000 0.000
Te 0.370 1.634 4.767
Ru -0.025 1.634 2.038
Pb 2.301 0.000 2.610

=====

| no. | E (eV per cell) |
| --- | --- |
| 1 | -69.05 |
| 2 | -18.84 |